Record 1
Density functional theory data (PBE-GGA) for a relaxed structure of LaPaC.

Cell lengths 3.5430, 6.2518, 12.1323 Å; angles 90.00, 90.00, 90.00 degrees
Element x y z (fractional)
C (0.7500, 0.5684, 0.1462)
C (0.2500, 0.0684, 0.3538)
C (0.7500, 0.9316, 0.6462)
La (0.2500, 0.7542, 0.5048)
Pa (0.2500, 0.3876, 0.2402)
Pa (0.2500, 0.1124, 0.7402)
C (0.2500, 0.4316, 0.8538)
Pa (0.7500, 0.6124, 0.7598)
La (0.2500, 0.7458, 0.0048)
La (0.7500, 0.2458, 0.4952)
Pa (0.7500, 0.8876, 0.2598)
La (0.7500, 0.2542, 0.9952)

Output
Space-group type: Pnma (62)
Crystal system: orthorhombic
Spin magnetization (μB/f.u.): 0.0
ΔE to the lowest computed polymorph (eV per atom): 0.0000
Formation energy (eV per atom): -0.096
Theoretical density (kg/m³): 9441

Record 2
Density functional theory data (PBE-GGA) for a relaxed structure of LaPaC.

Cell lengths 6.3694, 3.5801, 3.5801 Å; angles 120.00, 90.00, 90.00 degrees
Element x y z (fractional)
C (0.0287, 0.0000, 0.0000)
La (0.7566, 0.6667, 0.3333)
Pa (0.2148, 0.3333, 0.6667)

Output
Space-group type: P3m1 (156)
Crystal system: trigonal
Spin magnetization (μB/f.u.): 1.0
ΔE to the lowest computed polymorph (eV per atom): 0.0108
Formation energy (eV per atom): -0.085
Theoretical density (kg/m³): 8971

Record 3
Density functional theory data (PBE-GGA) for a relaxed structure of LaPa2C3.

Cell lengths 3.8459, 9.4419, 8.2486 Å; angles 90.00, 90.00, 101.75 degrees
Element x y z (fractional)
La (0.6534, 0.3067, 0.7500)
C (0.5831, 0.1663, 0.9895)
Pa (0.3761, 0.7521, 0.7500)
C (0.4169, 0.8337, 0.4895)
C (0.4169, 0.8337, 0.0105)
C (0.0601, 0.1202, 0.2500)
C (0.5831, 0.1663, 0.5105)
Pa (0.6239, 0.2479, 0.2500)
La (0.3466, 0.6933, 0.2500)
Pa (0.0000, 0.0000, 0.5000)
C (0.9399, 0.8798, 0.7500)
Pa (0.0000, 0.0000, 0.0000)

Output
Space-group type: Cmcm (63)
Crystal system: orthorhombic
Spin magnetization (μB/f.u.): 0.0
Formation energy (eV per atom): 0.113
Theoretical density (kg/m³): 7214

Record 4
Density functional theory data (PBE-GGA) for a relaxed structure of LaPa2ReC4.

Cell lengths 3.6467, 6.2928, 12.2351 Å; angles 90.00, 90.00, 106.84 degrees
Element x y z (fractional)
Pa (0.6321, 0.2643, 0.4562)
Re (0.8427, 0.6854, 0.7500)
C (0.7439, 0.4877, 0.6210)
C (0.7439, 0.4877, 0.8790)
Re (0.1573, 0.3146, 0.2500)
Pa (0.3679, 0.7357, 0.5438)
C (0.2561, 0.5123, 0.1210)
C (0.5834, 0.1667, 0.2500)
C (0.2561, 0.5123, 0.3790)
C (0.0000, 0.0000, 0.5000)
C (0.4166, 0.8333, 0.7500)
Pa (0.3679, 0.7357, 0.9562)
La (0.8956, 0.7912, 0.2500)
Pa (0.6321, 0.2643, 0.0438)
C (0.0000, 0.0000, 0.0000)
La (0.1044, 0.2088, 0.7500)

Output
Space-group type: Cmcm (63)
Crystal system: orthorhombic
Spin magnetization (μB/f.u.): 0.0
Formation energy (eV per atom): -0.176
Theoretical density (kg/m³): 10322

Record 5
Density functional theory data (PBE-GGA) for a relaxed structure of LaPa2RuC4.

Cell lengths 3.6228, 6.2379, 12.2855 Å; angles 90.00, 90.00, 106.88 degrees
Element x y z (fractional)
Pa (0.3674, 0.7347, 0.9536)
C (0.7458, 0.4916, 0.6149)
Pa (0.6326, 0.2653, 0.4536)
Pa (0.3674, 0.7347, 0.5464)
Ru (0.1664, 0.3329, 0.2500)
C (0.2542, 0.5084, 0.1149)
C (0.2542, 0.5084, 0.3851)
C (0.7458, 0.4916, 0.8851)
C (0.0000, 0.0000, 0.5000)
La (0.9073, 0.8146, 0.2500)
Pa (0.6326, 0.2653, 0.0464)
La (0.0927, 0.1854, 0.7500)
Ru (0.8336, 0.6671, 0.7500)
C (0.0000, 0.0000, 0.0000)
C (0.4182, 0.8363, 0.7500)
C (0.5818, 0.1637, 0.2500)

Output
Space-group type: Cmcm (63)
Crystal system: orthorhombic
Spin magnetization (μB/f.u.): 0.0
Formation energy (eV per atom): -0.160
Theoretical density (kg/m³): 9377

Record 6
Density functional theory data (PBE-GGA) for a relaxed structure of LaPaCS.

Cell lengths 3.9415, 3.9415, 13.8289 Å; angles 81.81, 81.81, 60.00 degrees
Element x y z (fractional)
Pa (0.6314, 0.6314, 0.1057)
S (0.9182, 0.9182, 0.2455)
C (0.6884, 0.6884, 0.9349)
Pa (0.3686, 0.3686, 0.8943)
S (0.0818, 0.0818, 0.7545)
La (0.2064, 0.2064, 0.3807)
La (0.7936, 0.7936, 0.6193)
C (0.3116, 0.3116, 0.0651)

Output
Space-group type: R-3m (166)
Crystal system: trigonal
Spin magnetization (μB/f.u.): 0.7
Theoretical density (kg/m³): 7493
Energy relative to the elements, uncorrected (eV per atom): -0.9754

Record 7
Density functional theory data (PBE-GGA) for a relaxed structure of La2Pa2Sb2C.

Cell lengths 4.7120, 4.7120, 9.1725 Å; angles 104.88, 104.88, 90.00 degrees
Element x y z (fractional)
La (0.8344, 0.8344, 0.6688)
Sb (0.3641, 0.3641, 0.7282)
Pa (0.0000, 0.5000, 0.0000)
Sb (0.6359, 0.6359, 0.2718)
Pa (0.5000, 0.0000, 0.0000)
La (0.1656, 0.1656, 0.3312)
C (0.0000, 0.0000, 0.0000)

Output
Space-group type: I4/mmm (139)
Crystal system: tetragonal
Spin magnetization (μB/f.u.): 0.0
Theoretical density (kg/m³): 8711
Energy relative to the elements, uncorrected (eV per atom): -0.7630

Record 8
Density functional theory data (PBE-GGA) for a relaxed structure of LaPaCSe2.

Cell lengths 4.0678, 4.0678, 15.1794 Å; angles 90.00, 90.00, 90.00 degrees
Element x y z (fractional)
La (0.5000, 0.0000, 0.1315)
Se (0.5000, 0.0000, 0.9141)
C (0.5000, 0.5000, 0.5000)
C (0.0000, 0.0000, 0.5000)
La (0.0000, 0.5000, 0.8685)
Se (0.0000, 0.5000, 0.0859)
Se (0.0000, 0.5000, 0.6813)
Pa (0.0000, 0.5000, 0.4247)
Se (0.5000, 0.0000, 0.3187)
Pa (0.5000, 0.0000, 0.5753)

Output
Space-group type: P4/nmm (129)
Crystal system: tetragonal
Spin magnetization (μB/f.u.): 0.0
Theoretical density (kg/m³): 7138
Energy relative to the elements, uncorrected (eV per atom): -1.2816

Q: Which value of spin magnetization does entry 4 give?
A: 0.0 μB/f.u.